No. 1
Entry from Alexandria via LeMat-Bulk: crystalline Cs2IN at its relaxed geometry (PBE-GGA).

Cell: 9.1617 9.1617 9.1617 Å, 131.50 131.50 71.03°
Positions (direct):
N 0.2500 0.7500 0.5000
N 0.5000 0.5000 0.0000
I 0.0000 0.0000 0.0000
I 0.7500 0.2500 0.5000
Cs 0.5025 0.1250 0.8775
Cs 0.3750 0.4975 0.6225
Cs 0.2475 0.6250 0.1225
Cs 0.8750 0.7525 0.3775

Summary:
excess energy over the best structure of this formula in the dataset: 124 meV per atom
DOS at the Fermi energy: 11.0 states/eV/cell
electronic total energy: -21.32 eV per cell
SG: I-42d (122)



No. 2
Entry from Alexandria via LeMat-Bulk: crystalline CsIN2 at its relaxed geometry (PBE-GGA).

Cell: 5.6880 5.6880 5.6880 Å, 60.00 60.00 60.00°
Each line ends with the local moment (μB).
Positions (direct):
N 0.7500 0.7500 0.7500  1.80
N 0.2500 0.2500 0.2500  1.80
Cs 0.5000 0.5000 0.5000  0.03
I 0.0000 0.0000 0.0000  0.35

Summary:
excess energy over the best structure of this formula in the dataset: 2452 meV per atom
electronic total energy: -12.10 eV per cell
SG: Fm-3m (225)